This record from Alexandria via LeMat-Bulk describes a relaxed structure of Li3Ce4Ga4. The functional is PBE.

* E: -0.291 Ry per atom
* ΔE_f: -0.17 eV/atom
* symmetry: Immm (71)

a = 10.2866 Å, b = 10.2866 Å, c = 10.2866 Å
α = 163.59°, β = 129.99°, γ = 52.99°
Closest atoms and distances in Å follow each position.
Element x y z (fractional)
1 Li 0.0000 0.0000 0.0000  4 Ga 2.83, 2 Li 2.94
2 Li 0.4169 0.9169 0.5000  6 Ga 2.75-2.86, 3 Li 2.94-3.06
3 Li 0.5831 0.0831 0.5000  6 Ga 2.75-2.86, 3 Li 2.94-3.06
4 Ce 0.0050 0.6610 0.3440  3 Ce 2.71-2.94
5 Ce 0.3170 0.6610 0.6560  3 Ce 2.71-2.94
6 Ce 0.6830 0.3390 0.3440  3 Ce 2.71-2.94
7 Ce 0.9950 0.3390 0.6560  3 Ce 2.71-2.94
8 Ga 0.2784 0.5000 0.7784  6 Li 2.83-2.86, 2 Ga 2.94, 2 Ce 3.15
9 Ga 0.2907 0.2907 0.0000  2 Li 2.75, 2 Ga 2.94
10 Ga 0.7093 0.7093 0.0000  2 Li 2.75, 2 Ga 2.94
11 Ga 0.7216 0.5000 0.2216  6 Li 2.83-2.86, 2 Ga 2.94, 2 Ce 3.15

---

This record from Alexandria via LeMat-Bulk describes a relaxed structure of TmGa2Rh. The functional is PBE.

* E: -0.378 Ry per atom
* ΔE_f: -0.67 eV/atom
* symmetry: R-3m (166)

a = 5.4244 Å, b = 5.4244 Å, c = 5.4244 Å
α = 45.68°, β = 45.68°, γ = 45.68°
Closest atoms and distances in Å follow each position.
Element x y z (fractional)
1 Tm 0.0000 0.0000 0.0000  8 Ga 2.95-3.18
2 Ga 0.2188 0.2188 0.2188  3 Rh 2.55
3 Ga 0.7812 0.7812 0.7812  3 Rh 2.55
4 Rh 0.5000 0.5000 0.5000  6 Ga 2.55

---

This record from Alexandria via LeMat-Bulk describes a relaxed structure of Tl2SiW. The functional is PBE.

* energy relative to the lowest polymorph listed for this composition: 72.5 kJ per mole of atoms
* E: -0.336 Ry per atom
* symmetry: F-43m (216)
* formation energy without anion corrections: 1211.6 meV/atom

a = 4.8892 Å, b = 4.8892 Å, c = 4.8892 Å
α = 60.00°, β = 60.00°, γ = 60.00°
Closest atoms and distances in Å follow each position.
Element x y z (fractional)
1 Tl 0.0000 0.0000 0.0000  4 W 2.99, 4 Tl 2.99
2 Tl 0.2500 0.2500 0.2500  4 Tl 2.99, 4 Si 2.99
3 Si 0.5000 0.5000 0.5000  4 W 2.99, 4 Tl 2.99
4 W 0.7500 0.7500 0.7500  4 Tl 2.99, 4 Si 2.99

---

This record from Alexandria via LeMat-Bulk describes a relaxed structure of MgInPt4. The functional is PBE.

* energy relative to the lowest polymorph listed for this composition: 3.8 kJ per mole of atoms
* E: -0.378 Ry per atom
* ΔE_f: -0.39 eV/atom
* symmetry: F-43m (216)

a = 5.3495 Å, b = 5.3495 Å, c = 5.3495 Å
α = 60.00°, β = 60.00°, γ = 60.00°
Closest atoms and distances in Å follow each position.
Element x y z (fractional)
1 Mg 0.0000 0.0000 0.0000  12 Pt 3.14, 4 In 3.28
2 In 0.2500 0.2500 0.2500  12 Pt 3.14, 4 Mg 3.28
3 Pt 0.1252 0.6249 0.6249  6 Pt 2.67-2.68
4 Pt 0.6249 0.1252 0.6249  6 Pt 2.67-2.68
5 Pt 0.6249 0.6249 0.1252  6 Pt 2.67-2.68
6 Pt 0.6249 0.6249 0.6249  6 Pt 2.67-2.68

---

This record from Alexandria via LeMat-Bulk describes a relaxed structure of Zr2ZnFe2Co5. The functional is PBE.

* E: -0.526 Ry per atom
* ΔE_f: -0.07 eV/atom
* symmetry: P4/mbm (127)

a = 8.5558 Å, b = 8.5558 Å, c = 3.7061 Å
α = 90.00°, β = 90.00°, γ = 90.00°
Closest atoms and distances in Å follow each position.
Element x y z (fractional)
1 Zr 0.1823 0.3177 0.0000  3 Fe 2.43-2.62
2 Zr 0.3177 0.8177 0.0000  3 Fe 2.43-2.62
3 Zr 0.6823 0.1823 0.0000  3 Fe 2.43-2.62
4 Zr 0.8177 0.6823 0.0000  3 Fe 2.43-2.62
5 Zn 0.0000 0.0000 0.0000  8 Co 2.61
6 Zn 0.5000 0.5000 0.0000  8 Co 2.61
7 Fe 0.1166 0.6166 0.0000  6 Co 2.33-2.44, 1 Zr 2.43
8 Fe 0.3834 0.1166 0.0000  6 Co 2.33-2.44, 1 Zr 2.43
9 Fe 0.6166 0.8834 0.0000  6 Co 2.33-2.44, 1 Zr 2.43
10 Fe 0.8834 0.3834 0.0000  6 Co 2.33-2.44, 1 Zr 2.43
11 Co 0.0000 0.5000 0.5000  4 Fe 2.33, 4 Co 2.56
12 Co 0.0587 0.7931 0.5000  2 Fe 2.44, 3 Co 2.56-2.60, 2 Zn 2.61
13 Co 0.2069 0.0587 0.5000  2 Fe 2.44, 3 Co 2.56-2.60, 2 Zn 2.61
14 Co 0.2931 0.5587 0.5000  2 Fe 2.44, 3 Co 2.56-2.60, 2 Zn 2.61
15 Co 0.4413 0.2931 0.5000  2 Fe 2.44, 3 Co 2.56-2.60, 2 Zn 2.61
16 Co 0.5000 0.0000 0.5000  4 Fe 2.33, 4 Co 2.56
17 Co 0.5587 0.7069 0.5000  2 Fe 2.44, 3 Co 2.56-2.60, 2 Zn 2.61
18 Co 0.7069 0.4413 0.5000  2 Fe 2.44, 3 Co 2.56-2.60, 2 Zn 2.61
19 Co 0.7931 0.9413 0.5000  2 Fe 2.44, 3 Co 2.56-2.60, 2 Zn 2.61
20 Co 0.9413 0.2069 0.5000  2 Fe 2.44, 3 Co 2.56-2.60, 2 Zn 2.61

---

This record from Alexandria via LeMat-Bulk describes a relaxed structure of SrPdN2Cl. The functional is PBE.

* E: -0.351 Ry per atom
* symmetry: P4/mmm (123)
* formation energy without anion corrections: 297.7 meV/atom

a = 4.0607 Å, b = 4.0607 Å, c = 5.7179 Å
α = 90.00°, β = 90.00°, γ = 90.00°
Closest atoms and distances in Å follow each position.
Element x y z (fractional)
1 Sr 0.0000 0.0000 0.0000  4 Cl 2.87
2 Pd 0.5000 0.5000 0.5000  4 N 2.03
3 N 0.0000 0.5000 0.5000  2 Pd 2.03
4 N 0.5000 0.0000 0.5000  2 Pd 2.03
5 Cl 0.5000 0.5000 0.0000  2 Pd 2.86, 4 Sr 2.87

---

This record from Alexandria via LeMat-Bulk describes a relaxed structure of CaP2. The functional is PBE.

* E: -0.357 Ry per atom
* ΔE_f: -0.58 eV/atom
* symmetry: Cm (8)

a = 5.7552 Å, b = 5.7552 Å, c = 6.2406 Å
α = 91.15°, β = 91.15°, γ = 41.13°
Closest atoms and distances in Å follow each position.
Element x y z (fractional)
1 Ca 0.0000 0.0000 0.0000  9 P 2.96-3.26
2 Ca 0.2431 0.2431 0.5802  8 P 2.92-3.19
3 P 0.4774 0.4774 0.3432  3 P 2.26-2.30
4 P 0.6798 0.6798 0.2574  2 P 2.12-2.26
5 P 0.7044 0.7044 0.9208  1 P 2.12
6 P 0.9683 0.9683 0.5190  2 P 2.30

---

This record from Alexandria via LeMat-Bulk describes a relaxed structure of Y2Fe3Os. The functional is PBE.

* E: -0.618 Ry per atom
* ΔE_f: -0.15 eV/atom
* symmetry: C2/m (12)

a = 5.1951 Å, b = 5.1951 Å, c = 5.2248 Å
α = 119.83°, β = 119.83°, γ = 59.91°
Closest atoms and distances in Å follow each position.
Element x y z (fractional)
1 Y 0.1254 0.1254 0.3761  3 Os 3.04-3.05, 9 Fe 3.05-3.06, 4 Y 3.18-3.22
2 Y 0.8746 0.8746 0.6239  3 Os 3.04-3.05, 9 Fe 3.05-3.06, 4 Y 3.18-3.22
3 Fe 0.0000 0.5000 0.0000  4 Fe 2.59-2.60, 2 Os 2.61
4 Fe 0.5000 0.0000 0.0000  4 Fe 2.59-2.60, 2 Os 2.61
5 Fe 0.5000 0.5000 0.0000  4 Fe 2.60, 2 Os 2.61
6 Os 0.5000 0.5000 0.5000  6 Fe 2.61

---

This record from Alexandria via LeMat-Bulk describes a relaxed structure of Zr2WSe. The functional is PBE.

* E: -0.621 Ry per atom
* symmetry: Pmm2 (25)
* formation energy without anion corrections: -70.6 meV/atom

a = 3.4561 Å, b = 4.2704 Å, c = 5.6557 Å
α = 90.00°, β = 90.00°, γ = 90.00°
Closest atoms and distances in Å follow each position.
Element x y z (fractional)
1 Zr 0.0000 0.0000 0.0000  4 W 2.79, 2 Se 2.81-2.84
2 Zr 0.5000 0.5000 0.3693  1 W 2.59, 4 Se 2.84
3 W 0.5000 0.5000 0.9112  5 Zr 2.59-2.79
4 Se 0.0000 0.0000 0.4977  6 Zr 2.81-2.84

---

This record from Alexandria via LeMat-Bulk describes a relaxed structure of Zn3Cu6Au. The functional is PBE.

* energy relative to the lowest polymorph listed for this composition: 10.5 kJ per mole of atoms
* E: -0.229 Ry per atom
* ΔE_f: 0.06 eV/atom
* symmetry: Cmc2_1 (36)

a = 7.4535 Å, b = 7.4535 Å, c = 5.3611 Å
α = 90.00°, β = 90.00°, γ = 108.85°
Closest atoms and distances in Å follow each position.
Element x y z (fractional)
1 Zn 0.0977 0.9023 0.5000  6 Cu 2.61-2.82, 2 Zn 2.67, 1 Au 2.70
2 Zn 0.2092 0.3685 0.1701  7 Cu 2.45-2.60, 1 Zn 2.67
3 Zn 0.3685 0.2092 0.6701  7 Cu 2.45-2.60, 1 Zn 2.67
4 Zn 0.6315 0.7908 0.1701  7 Cu 2.45-2.60, 1 Zn 2.67
5 Zn 0.7908 0.6315 0.6701  7 Cu 2.45-2.60, 1 Zn 2.67
6 Zn 0.9023 0.0977 0.0000  6 Cu 2.61-2.82, 2 Zn 2.67, 1 Au 2.70
7 Cu 0.0161 0.4816 0.8549  6 Cu 2.49-2.71, 2 Zn 2.50-2.53, 2 Au 2.69
8 Cu 0.0543 0.2325 0.5701  4 Zn 2.46-2.62, 4 Cu 2.49-2.62
9 Cu 0.2325 0.0543 0.0701  4 Zn 2.46-2.62, 4 Cu 2.49-2.62
10 Cu 0.2722 0.7278 0.0912  7 Cu 2.52-2.73, 2 Zn 2.60, 2 Au 2.70-2.77
11 Cu 0.4798 0.5202 0.8964  4 Zn 2.45-2.51, 2 Au 2.58-2.65, 3 Cu 2.73
12 Cu 0.4816 0.0161 0.3549  6 Cu 2.49-2.71, 2 Zn 2.50-2.53, 2 Au 2.69
13 Cu 0.5184 0.9839 0.8549  6 Cu 2.49-2.71, 2 Zn 2.50-2.53, 2 Au 2.69
14 Cu 0.5202 0.4798 0.3964  4 Zn 2.45-2.51, 2 Au 2.58-2.65, 3 Cu 2.73
15 Cu 0.7278 0.2722 0.5912  7 Cu 2.52-2.73, 2 Zn 2.60, 2 Au 2.70-2.77
16 Cu 0.7675 0.9457 0.5701  4 Zn 2.46-2.62, 4 Cu 2.49-2.62
17 Cu 0.9457 0.7675 0.0701  4 Zn 2.46-2.62, 4 Cu 2.49-2.62
18 Cu 0.9839 0.5184 0.3549  6 Cu 2.49-2.71, 2 Zn 2.50-2.53, 2 Au 2.69
19 Au 0.3176 0.6824 0.5841  8 Cu 2.58-2.77, 1 Zn 2.70
20 Au 0.6824 0.3176 0.0841  8 Cu 2.58-2.77, 1 Zn 2.70

---

This record from Alexandria via LeMat-Bulk describes a relaxed structure of PdN3Cl. The functional is PBE.

* E: -0.308 Ry per atom
* symmetry: Pm-3m (221)
* formation energy without anion corrections: 2216.7 meV/atom

a = 4.0743 Å, b = 4.0743 Å, c = 4.0743 Å
α = 90.00°, β = 90.00°, γ = 90.00°
Closest atoms and distances in Å follow each position.
Element x y z (fractional)
1 Pd 0.0000 0.0000 0.0000  6 N 2.04
2 N 0.0000 0.0000 0.5000  2 Pd 2.04
3 N 0.0000 0.5000 0.0000  2 Pd 2.04
4 N 0.5000 0.0000 0.0000  2 Pd 2.04
5 Cl 0.5000 0.5000 0.5000  12 N 2.88

---

This record from Alexandria via LeMat-Bulk describes a relaxed structure of Sr4ScZn. The functional is PBE.

* E: -0.128 Ry per atom
* ΔE_f: 0.64 eV/atom
* symmetry: F-43m (216)

a = 7.2272 Å, b = 7.2272 Å, c = 7.2272 Å
α = 60.00°, β = 60.00°, γ = 60.00°
Closest atoms and distances in Å follow each position.
Element x y z (fractional)
1 Sr 0.3757 0.3757 0.3757  6 Sr 3.59-3.63
2 Sr 0.3757 0.3757 0.8730  6 Sr 3.59-3.63
3 Sr 0.3757 0.8730 0.3757  6 Sr 3.59-3.63
4 Sr 0.8730 0.3757 0.3757  6 Sr 3.59-3.63
5 Sc 0.7500 0.7500 0.7500  12 Sr 4.24, 4 Zn 4.43
6 Zn 0.0000 0.0000 0.0000  12 Sr 4.24, 4 Sc 4.43

---

This record from Alexandria via LeMat-Bulk describes a relaxed structure of Ca2LaPt. The functional is PBE.

* energy relative to the lowest polymorph listed for this composition: 16.4 kJ per mole of atoms
* E: -0.307 Ry per atom
* ΔE_f: -0.44 eV/atom
* symmetry: P4/mmm (123)

a = 3.5721 Å, b = 3.5721 Å, c = 9.4289 Å
α = 90.00°, β = 90.00°, γ = 90.00°
Closest atoms and distances in Å follow each position.
Element x y z (fractional)
1 Ca 0.0000 0.0000 0.1763  4 Pt 3.02, 1 Ca 3.32
2 Ca 0.0000 0.0000 0.8237  4 Pt 3.02, 1 Ca 3.32
3 La 0.5000 0.5000 0.5000  4 La 3.57, 8 Ca 3.96
4 Pt 0.5000 0.5000 0.0000  8 Ca 3.02